(1)
Density functional theory data (PBE) for an optimized crystal structure of Pa2NbV.

E, eV per cell: -36.2

```
4
Lattice="2.993 0.000 0.000 1.497 2.592 0.000 1.497 0.864 10.757" Properties=species:S:1:pos:R:3 pbc="T T T"
Nb 0.000 0.000 0.000
Pa 1.497 0.864 7.870
Pa 4.490 2.592 2.888
V 2.993 1.728 5.379
```

---

(2)
Density functional theory data (PBE) for an optimized crystal structure of PaTa2Tc.

Energy relative to the lowest polymorph listed for this composition, meV per atom: 90

```
4
Lattice="4.707 0.000 0.000 2.353 4.076 0.000 2.353 1.359 3.842" Properties=species:S:1:pos:R:3 pbc="T T T"
Pa 4.707 2.717 1.921
Tc 0.000 0.000 0.000
Ta 2.353 1.359 0.961
Ta 7.060 4.076 2.881
```

---

(3)
Density functional theory data (PBE) for an optimized crystal structure of Ce2Dy6Er3Tm.

E, eV per cell: -57.1

```
12
Lattice="6.099 -0.001 0.000 -3.049 5.283 0.000 -1.018 -1.762 11.503" Properties=species:S:1:pos:R:3 pbc="T T T"
Ce 0.003 3.520 0.000
Ce 3.047 1.762 0.000
Dy 3.053 1.752 8.634
Dy 2.029 3.513 2.873
Dy -1.020 1.768 2.870
Dy -0.008 3.520 8.634
Dy 0.004 0.008 8.631
Dy 2.041 0.000 2.870
Er -2.039 3.525 5.752
Er 4.072 -0.004 5.752
Er 1.017 1.760 5.752
Tm 0.000 0.000 0.000
```

---

(4)
Density functional theory data (PBE) for an optimized crystal structure of CuB2Cl8.

Energy relative to the lowest polymorph listed for this composition, meV per atom: 0
E_form (uncorrected), eV per atom: -0.788

```
11
Lattice="-0.787 2.149 5.596 3.920 -5.620 2.440 6.554 3.108 -0.542" Properties=species:S:1:pos:R:3 pbc="T T T"
Cu 0.000 0.000 0.000
B 7.670 -0.508 5.289
B 2.017 0.145 2.205
Cl 7.253 1.878 1.239
Cl 4.254 3.792 4.194
Cl 7.954 -1.159 3.632
Cl 1.732 0.797 3.862
Cl 5.432 -4.155 3.300
Cl 2.434 -2.241 6.255
Cl 6.011 0.094 5.583
Cl 3.676 -0.456 1.911
```